Cs2PPd after structural relaxation. Source: Alexandria, functional PBE-GGA.

Properties
Energy relative to the elements, eV per atom: -0.2871
M_tot, μB per cell: 0.000
Crystal system: tetragonal
DOS at the Fermi energy, states/eV/cell: 5.01

Unit cell a=9.473 b=9.473 c=9.473 alpha=93.26 beta=93.26 gamma=152.40
Positions (direct):
Cs (0.375, 0.199, 0.324)
Cs (0.801, 0.125, 0.176)
Cs (0.875, 0.051, 0.676)
Cs (0.949, 0.625, 0.824)
P (0.250, 0.750, 0.500)
P (0.500, 0.500, 0.000)
Pd (0.000, 0.000, 0.000)
Pd (0.750, 0.250, 0.500)



Cs3P3Pd5 after structural relaxation. Source: Alexandria, functional PBE-GGA.

Properties
Energy relative to the elements, eV per atom: -0.4056
M_tot, μB per cell: 0.000
Crystal system: hexagonal
DOS at the Fermi energy, states/eV/cell: 6.63

Unit cell a=7.282 b=7.282 c=6.699 alpha=90.00 beta=90.00 gamma=120.00
Positions (direct):
Cs (0.000, 0.670, 0.000)
Cs (0.330, 0.330, 0.000)
Cs (0.670, 0.000, 0.000)
P (0.000, 0.632, 0.500)
P (0.368, 0.368, 0.500)
P (0.632, 0.000, 0.500)
Pd (0.000, 0.247, 0.500)
Pd (0.247, 0.000, 0.500)
Pd (0.333, 0.667, 0.500)
Pd (0.667, 0.333, 0.500)
Pd (0.753, 0.753, 0.500)



CsPPd3 after structural relaxation. Source: Alexandria, functional PBE-GGA.

Properties
Energy relative to the elements, eV per atom: -0.3035
Excess energy over the best structure of this formula in the dataset, meV/atom: 0
M_tot, μB per cell: 0.000
Crystal system: monoclinic
DOS at the Fermi energy, states/eV/cell: 2.97

Unit cell a=6.506 b=5.599 c=7.420 alpha=90.00 beta=97.26 gamma=90.00
Positions (direct):
Cs (0.223, 0.250, 0.387)
Cs (0.777, 0.750, 0.613)
P (0.401, 0.750, 0.134)
P (0.599, 0.250, 0.866)
Pd (0.045, 0.750, 0.077)
Pd (0.314, 0.004, 0.880)
Pd (0.314, 0.496, 0.880)
Pd (0.686, 0.504, 0.120)
Pd (0.686, 0.996, 0.120)
Pd (0.955, 0.250, 0.923)



Cs2PPd2 after structural relaxation. Source: Alexandria, functional PBE-GGA.

Properties
Energy relative to the elements, eV per atom: -0.2339
Excess energy over the best structure of this formula in the dataset, meV/atom: 0
M_tot, μB per cell: 0.000
Crystal system: monoclinic
DOS at the Fermi energy, states/eV/cell: 2.90

Unit cell a=6.728 b=6.728 c=7.799 alpha=98.32 beta=98.32 gamma=64.87
Positions (direct):
Cs (0.054, 0.260, 0.143)
Cs (0.260, 0.054, 0.643)
Cs (0.740, 0.946, 0.357)
Cs (0.946, 0.740, 0.857)
P (0.459, 0.541, 0.250)
P (0.541, 0.459, 0.750)
Pd (0.290, 0.524, 0.491)
Pd (0.476, 0.710, 0.009)
Pd (0.524, 0.290, 0.991)
Pd (0.710, 0.476, 0.509)



Cs2PPd2 after structural relaxation. Source: Alexandria, functional PBE-GGA.

Properties
Energy relative to the elements, eV per atom: -0.0133
Excess energy over the best structure of this formula in the dataset, meV/atom: 221
M_tot, μB per cell: 0.000
Crystal system: tetragonal
DOS at the Fermi energy, states/eV/cell: 11.03

Unit cell a=6.864 b=6.864 c=5.983 alpha=90.00 beta=90.00 gamma=90.00
Positions (direct):
Cs (0.176, 0.324, 0.000)
Cs (0.324, 0.824, 0.000)
Cs (0.676, 0.176, 0.000)
Cs (0.824, 0.676, 0.000)
P (0.000, 0.000, 0.500)
P (0.500, 0.500, 0.500)
Pd (0.210, 0.710, 0.500)
Pd (0.290, 0.210, 0.500)
Pd (0.710, 0.790, 0.500)
Pd (0.790, 0.290, 0.500)



CsPPd after structural relaxation. Source: Alexandria, functional PBE-GGA.

Properties
Energy relative to the elements, eV per atom: -0.3121
Excess energy over the best structure of this formula in the dataset, meV/atom: 0
M_tot, μB per cell: 0.000
Crystal system: hexagonal
DOS at the Fermi energy, states/eV/cell: 2.71

Unit cell a=4.062 b=4.062 c=5.944 alpha=90.00 beta=90.00 gamma=120.00
Positions (direct):
Cs (0.000, 0.000, 0.000)
P (0.333, 0.667, 0.500)
Pd (0.667, 0.333, 0.500)



CsPPd3 after structural relaxation. Source: Alexandria, functional PBE-GGA.

Properties
Energy relative to the elements, eV per atom: 0.0405
Excess energy over the best structure of this formula in the dataset, meV/atom: 344
M_tot, μB per cell: 0.000
Crystal system: orthorhombic
DOS at the Fermi energy, states/eV/cell: 6.51

Unit cell a=6.354 b=6.354 c=6.288 alpha=90.00 beta=90.00 gamma=119.97
Positions (direct):
Cs (0.166, 0.834, 0.750)
Cs (0.834, 0.166, 0.250)
P (0.500, 0.500, 0.000)
P (0.500, 0.500, 0.500)
Pd (0.169, 0.335, 0.750)
Pd (0.334, 0.666, 0.250)
Pd (0.335, 0.169, 0.250)
Pd (0.665, 0.831, 0.750)
Pd (0.666, 0.334, 0.750)
Pd (0.831, 0.665, 0.250)



CsPPd after structural relaxation. Source: Alexandria, functional PBE-GGA.

Properties
Energy relative to the elements, eV per atom: -0.1878
Excess energy over the best structure of this formula in the dataset, meV/atom: 124
M_tot, μB per cell: 0.000
Crystal system: tetragonal
DOS at the Fermi energy, states/eV/cell: 1.37

Unit cell a=6.824 b=6.824 c=6.824 alpha=150.74 beta=150.74 gamma=41.85
Positions (direct):
Cs (0.000, 0.000, 0.000)
P (0.718, 0.718, 0.000)
Pd (0.267, 0.267, 0.000)